Below is an optimized crystal structure of CoRh, with properties calculated at the PBE-GGA level.

DOS(E_F), states/eV/cell: 12.90
Calculated density, Mg/m³: 9.495
Energy of formation, eV per atom: 0.617
Total energy, eV/atom: -6.612

abc: 4.837 4.837 4.839
angles: 90.00 90.00 90.00
Last column: magnetic moment on the atom in μB.
Sites, in units of the cell vectors:
Co1 0.321 0.321 0.500  1.59
Rh1 0.191 0.809 0.500  0.52
Rh2 0.309 0.309 0.000  0.52
Rh3 0.691 0.691 0.000  0.52
Co2 0.679 0.679 0.500  1.59
Rh4 0.809 0.191 0.500  0.52
Co3 0.179 0.821 0.000  1.59
Co4 0.821 0.179 0.000  1.59



Below is an optimized crystal structure of HfThMg, with properties calculated at the PBE-GGA level.

DOS(E_F), states/eV/cell: 5.67
Calculated density, Mg/m³: 8.537
Energy of formation, eV per atom: 0.344
Polymorph energy (0 for the lowest one), meV per atom: 228
Total energy, eV/atom: -5.978

abc: 3.875 3.875 11.265
angles: 90.00 90.00 90.00
Sites, in units of the cell vectors:
Hf1 0.500 0.000 0.558
Mg1 0.500 0.500 0.000
Th1 0.000 0.500 0.730
Hf2 0.000 0.500 0.442
Mg2 0.000 0.000 0.000
Th2 0.500 0.000 0.270



Below is an optimized crystal structure of Li2ScAsO4, with properties calculated at the PBE-GGA level.

DOS(E_F), states/eV/cell: 0.00
Calculated density, Mg/m³: 3.909
Raw formation energy, eV per atom: -2.140
Total energy, eV/atom: -6.470

abc: 4.274 4.274 5.502
angles: 112.86 112.86 90.00
Sites, in units of the cell vectors:
O1 0.267 0.267 0.534
Sc1 0.500 0.500 0.000
O2 0.733 0.733 0.466
Li1 0.250 0.750 0.500
Li2 0.000 0.000 0.000
O3 0.512 0.012 0.024
As1 0.750 0.250 0.500
O4 0.988 0.488 0.976



Copy entry 2 word for word.
Below is an optimized crystal structure of HfThMg, with properties calculated at the PBE-GGA level.

DOS(E_F), states/eV/cell: 5.67
Calculated density, Mg/m³: 8.537
Energy of formation, eV per atom: 0.344
Polymorph energy (0 for the lowest one), meV per atom: 228
Total energy, eV/atom: -5.978

abc: 3.875 3.875 11.265
angles: 90.00 90.00 90.00
Sites, in units of the cell vectors:
Hf1 0.500 0.000 0.558
Mg1 0.500 0.500 0.000
Th1 0.000 0.500 0.730
Hf2 0.000 0.500 0.442
Mg2 0.000 0.000 0.000
Th2 0.500 0.000 0.270



Which of these has the highest total energy? HfThMg



Among the records above, which one has the highest calculated density? CoRh